# ZnFeBO4 PBE with a Hubbard U optimized geometry
data_ZnFeBO4
_cell_length_a 3.171
_cell_length_b 9.474
_cell_length_c 9.380
_cell_angle_alpha 90.00
_cell_angle_beta 90.00
_cell_angle_gamma 90.00
_space_group_name_H-M_alt 'P m c 21'
_space_group_IT_number 26
loop_
_space_group_symop_operation_xyz
'x,y,z'
'-x,-y,z+1/2'
'-x,y,z'
'x,-y,z+1/2'
loop_
_atom_site_label
_atom_site_type_symbol
_atom_site_fract_x
_atom_site_fract_y
_atom_site_fract_z
Zn1 Zn 0.000 0.055 0.000
Zn2 Zn 0.000 0.316 0.516
Fe1 Fe 0.500 0.178 0.280
Fe2 Fe 0.500 0.444 0.796
B1 B 0.000 0.374 0.067
B2 B 0.500 0.130 0.741
O1 O 0.000 0.133 0.399
O2 O 0.000 0.244 0.133
O3 O 0.000 0.385 0.919
O4 O 0.000 0.499 0.147
O5 O 0.500 0.004 0.662
O6 O 0.500 0.128 0.886
O7 O 0.500 0.262 0.671
O8 O 0.500 0.370 0.376
# Spin magnetization = 4.981 μB/f.u.
# Electronic total energy = -6.550 eV/atom
# Calculated volume = 10.066 Å³ per atom